1.
The following is a DFT calculation (PBE) of crystalline NiP at its relaxed geometry.

Cell and atoms, written as CIF:
```
data_NiP
_space_group_name_H-M_alt 'R -3 m'
_space_group_IT_number 166
_space_group_name_Hall '-R 3 2"'
_cell_length_a 3.6719
_cell_length_b 3.6719
_cell_length_c 16.8595
_cell_angle_alpha 90.00
_cell_angle_beta 90.00
_cell_angle_gamma 120.00
loop_
_atom_site_label
_atom_site_fract_x
_atom_site_fract_y
_atom_site_fract_z
_atom_site_occupancy
Ni1 0.0000 0.0000 0.1275 1
P1 0.0000 0.0000 0.4292 1
```

2.
The following is a DFT calculation (PBE) of crystalline Ca3Ga2Cu6 at its relaxed geometry.

Cell and atoms, written as CIF:
```
data_Ca3Ga2Cu6
_space_group_name_H-M_alt 'I m -3 m'
_space_group_IT_number 229
_space_group_name_Hall '-I 4 2 3'
_cell_length_a 9.250
_cell_length_b 9.250
_cell_length_c 9.250
_cell_angle_alpha 90.00
_cell_angle_beta 90.00
_cell_angle_gamma 90.00
loop_
_atom_site_label
_atom_site_fract_x
_atom_site_fract_y
_atom_site_fract_z
_atom_site_occupancy
Ca1 0.000 0.000 0.286 1
Ga1 0.250 0.250 0.250 1
Cu1 0.000 0.331 0.331 1
```

3.
The following is a DFT calculation (PBE) of crystalline MnTcNiMo2 at its relaxed geometry.

Cell and atoms, written as CIF:
```
data_MnTcNiMo2
_space_group_name_H-M_alt 'P 4/m m m'
_space_group_IT_number 123
_space_group_name_Hall '-P 4 2'
_cell_length_a 4.413
_cell_length_b 4.413
_cell_length_c 4.343
_cell_angle_alpha 90.00
_cell_angle_beta 90.00
_cell_angle_gamma 90.00
loop_
_atom_site_label
_atom_site_fract_x
_atom_site_fract_y
_atom_site_fract_z
_atom_site_occupancy
Mn1 0.000 0.000 0.000 1
Tc1 0.000 0.000 0.500 1
Ni1 0.500 0.500 0.500 1
Mo1 0.000 0.500 0.000 1
```

4.
The following is a DFT calculation (PBE) of crystalline Sr6Sb3H at its relaxed geometry.

Cell and atoms, written as CIF:
```
data_Sr6Sb3H
_space_group_name_H-M_alt 'C m c 21'
_space_group_IT_number 36
_cell_length_a 12.797
_cell_length_b 15.855
_cell_length_c 7.667
_cell_angle_alpha 90.00
_cell_angle_beta 90.00
_cell_angle_gamma 90.00
loop_
_space_group_symop_operation_xyz
'x,y,z'
'-x,-y,z+1/2'
'-x,y,z'
'x,-y,z+1/2'
'x+1/2,y+1/2,z'
'-x+1/2,-y+1/2,z+1/2'
'-x+1/2,y+1/2,z'
'x+1/2,-y+1/2,z+1/2'
loop_
_atom_site_label
_atom_site_fract_x
_atom_site_fract_y
_atom_site_fract_z
_atom_site_occupancy
Sr1 0.000 0.045 0.000 1
Sr2 0.000 0.222 0.469 1
Sr3 0.157 0.265 0.979 1
Sr4 0.162 0.477 0.463 1
Sb1 0.000 0.389 0.749 1
Sb2 0.174 0.106 0.682 1
H1 0.000 0.194 0.123 1
```

5.
The following is a DFT calculation (PBE) of crystalline Ca3ZnW at its relaxed geometry.

Cell and atoms, written as CIF:
```
data_Ca3ZnW
_space_group_name_H-M_alt 'P m -3 m'
_space_group_IT_number 221
_space_group_name_Hall '-P 4 2 3'
_cell_length_a 5.383
_cell_length_b 5.383
_cell_length_c 5.383
_cell_angle_alpha 90.00
_cell_angle_beta 90.00
_cell_angle_gamma 90.00
loop_
_atom_site_label
_atom_site_fract_x
_atom_site_fract_y
_atom_site_fract_z
_atom_site_occupancy
Ca1 0.000 0.000 0.500 1
Zn1 0.000 0.000 0.000 1
W1 0.500 0.500 0.500 1
```

6.
The following is a DFT calculation (PBE) of crystalline SrHf3Cl at its relaxed geometry.

Cell and atoms, written as CIF:
```
data_SrHf3Cl
_space_group_name_H-M_alt 'P m -3 m'
_space_group_IT_number 221
_space_group_name_Hall '-P 4 2 3'
_cell_length_a 5.336
_cell_length_b 5.336
_cell_length_c 5.336
_cell_angle_alpha 90.00
_cell_angle_beta 90.00
_cell_angle_gamma 90.00
loop_
_atom_site_label
_atom_site_fract_x
_atom_site_fract_y
_atom_site_fract_z
_atom_site_occupancy
Sr1 0.000 0.000 0.000 1
Hf1 0.000 0.000 0.500 1
Cl1 0.500 0.500 0.500 1
```

Results
Uncorrected formation energy   203.6 kJ/mol of atoms

7.
The following is a DFT calculation (PBE) of crystalline Ti3V at its relaxed geometry.

Cell and atoms, written as CIF:
```
data_Ti3V
_space_group_name_H-M_alt 'I m m 2'
_space_group_IT_number 44
_cell_length_a 2.759
_cell_length_b 9.148
_cell_length_c 5.164
_cell_angle_alpha 90.00
_cell_angle_beta 90.00
_cell_angle_gamma 90.00
loop_
_space_group_symop_operation_xyz
'x,y,z'
'-x,-y,z'
'-x,y,z'
'x,-y,z'
'x+1/2,y+1/2,z+1/2'
'-x+1/2,-y+1/2,z+1/2'
'-x+1/2,y+1/2,z+1/2'
'x+1/2,-y+1/2,z+1/2'
loop_
_atom_site_label
_atom_site_fract_x
_atom_site_fract_y
_atom_site_fract_z
_atom_site_occupancy
Ti1 0.000 0.000 0.000 1
Ti2 0.000 0.249 0.707 1
V1 0.000 0.500 0.973 1
```

8.
The following is a DFT calculation (PBE) of crystalline Sc2In2Te7 at its relaxed geometry.

Cell and atoms, written as CIF:
```
data_Sc2In2Te7
_space_group_name_H-M_alt 'C 1 2/m 1'
_space_group_IT_number 12
_cell_length_a 8.829
_cell_length_b 13.009
_cell_length_c 7.663
_cell_angle_alpha 90.00
_cell_angle_beta 111.98
_cell_angle_gamma 90.00
loop_
_space_group_symop_operation_xyz
'x,y,z'
'-x,-y,-z'
'-x,y,-z'
'x,-y,z'
'x+1/2,y+1/2,z'
'-x+1/2,-y+1/2,-z'
'-x+1/2,y+1/2,-z'
'x+1/2,-y+1/2,z'
loop_
_atom_site_label
_atom_site_fract_x
_atom_site_fract_y
_atom_site_fract_z
_atom_site_occupancy
Sc1 0.000 0.186 0.000 1
In1 0.235 0.000 0.639 1
Te1 0.000 0.500 0.500 1
Te2 0.145 0.000 0.228 1
Te3 0.211 0.194 0.781 1
```

Results
Uncorrected formation energy   -53.0 kJ/mol of atoms

9.
The following is a DFT calculation (PBE) of crystalline ZrPW2 at its relaxed geometry.

Cell and atoms, written as CIF:
```
data_ZrPW2
_space_group_name_H-M_alt 'R -3 m'
_space_group_IT_number 166
_space_group_name_Hall '-R 3 2"'
_cell_length_a 2.9923
_cell_length_b 2.9923
_cell_length_c 26.2413
_cell_angle_alpha 90.00
_cell_angle_beta 90.00
_cell_angle_gamma 120.00
loop_
_atom_site_label
_atom_site_fract_x
_atom_site_fract_y
_atom_site_fract_z
_atom_site_occupancy
Zr1 0.0000 0.0000 0.0000 1
P1 0.0000 0.0000 0.5000 1
W1 0.0000 0.0000 0.2357 1
```

10.
The following is a DFT calculation (PBE) of crystalline K8HBr3Cl4 at its relaxed geometry.

Cell and atoms, written as CIF:
```
data_K8HBr3Cl4
_space_group_name_H-M_alt 'R -3 m'
_space_group_IT_number 166
_space_group_name_Hall '-R 3 2"'
_cell_length_a 9.1265
_cell_length_b 9.1265
_cell_length_c 22.3622
_cell_angle_alpha 90.00
_cell_angle_beta 90.00
_cell_angle_gamma 120.00
loop_
_atom_site_label
_atom_site_fract_x
_atom_site_fract_y
_atom_site_fract_z
_atom_site_occupancy
K1 0.0000 0.0000 0.2459 1
K2 0.0116 0.5058 0.7509 1
H1 0.0000 0.0000 0.0000 1
Br1 0.0000 0.5000 0.0000 1
Cl1 0.0000 0.0000 0.5000 1
Cl2 0.0000 0.5000 0.5000 1
```

Asked for E_tot across the records above, the calculation gives -5.720; -3.549; -8.134; -3.358; -2.804; -4.568; -8.101; -4.198; -9.753; -3.179 eV per atom in order.
Asked for magnetization across the records above, the calculation gives 0.00; 0.00; 0.00; 1.98; 0.00; 0.86; 0.00; 0.00; 0.00; 0.06 μB per formula unit in order.